4
Lattice="-2.232 -2.189 2.772 1.803 -1.388 3.505 -1.514 3.399 4.615" Properties=species:S:1:pos:R:3 comment="SrAs2Rh GGA-PBEsol relaxed" spacegroup="R-3m (166)" dos_at_fermi_per_ev_atom=0.465 crystal_system=trigonal ef_ev_per_atom=-0.7744 pbc="T T T"
Rh -0.972 -0.089 5.446
Sr 0.000 0.000 0.000
As -0.629 0.435 2.986
As -1.314 -0.612 7.905